(1)
Material: Ba2SiTe
Method: DFT, PBE
State: relaxed

Cell: 4.5735 5.0999 12.3599 Å, 90.00 90.00 90.00°
Last column: nearest neighbours and their distance in Å.
Space group Imm2 (No. 44)
One atom of each set of equivalent atoms:
Ba (0.0000, 0.0000, 0.0000) x2  4 Te 3.43, 2 Si 3.71
Ba (0.0000, 0.5000, 0.2425) x2  4 Si 3.46
Si (0.0000, 0.5000, 0.7820) x2  2 Te 3.37, 6 Ba 3.46-3.71
Te (0.0000, 0.0000, 0.4824) x2  2 Si 3.37, 4 Ba 3.43

Computed properties:
The value obtained for the mass density is 5.0 g cm⁻³. The crystal system is orthorhombic. The value obtained for the formation energy from raw total energies is -0.56 eV per atom. The density of states at the Fermi level comes out at 3.407 states/eV/f.u.

***

(2)
Material: BaSi3Te
Method: DFT, PBE
State: relaxed

Cell: 5.3528 5.3528 5.3528 Å, 90.00 90.00 90.00°
Last column: nearest neighbours and their distance in Å.
Space group Pm-3m (No. 221)
One atom of each set of equivalent atoms:
Ba (0.0000, 0.0000, 0.0000) x1  12 Si 3.78
Si (0.0000, 0.5000, 0.5000) x3  2 Te 2.68
Te (0.5000, 0.5000, 0.5000) x1  6 Si 2.68

Computed properties:
The value obtained for the mass density is 3.8 g cm⁻³. The crystal system is cubic. The value obtained for the formation energy from raw total energies is 0.65 eV per atom. The density of states at the Fermi level comes out at 2.720 states/eV/f.u.

***

(3)
Material: BaSiTe2
Method: DFT, PBE
State: relaxed

Cell: 4.6941 4.6941 11.3573 Å, 90.00 90.00 90.00°
Last column: nearest neighbours and their distance in Å.
Space group I-4m2 (No. 119)
One atom of each set of equivalent atoms:
Ba (0.0000, 0.0000, 0.0000) x2  8 Te 3.32-3.68, 4 Si 3.68
Si (0.0000, 0.5000, 0.7500) x2  8 Te 3.32-3.68, 4 Ba 3.68
Te (0.0000, 0.0000, 0.5000) x2  4 Ba 3.32, 4 Te 3.68, 4 Si 3.68
Te (0.0000, 0.5000, 0.2500) x2  4 Si 3.32, 4 Ba 3.68, 4 Te 3.68

Computed properties:
The value obtained for the mass density is 5.6 g cm⁻³. The crystal system is tetragonal. The value obtained for the formation energy from raw total energies is -0.32 eV per atom. The density of states at the Fermi level comes out at 2.112 states/eV/f.u.